# 1
Computed, not measured: Co2MoRh at its PBEsol-relaxed geometry at the SCAN level of DFT.

Lattice parameters (Å, degrees): 2.6092 4.4218 4.4218 108.19 90.00 90.00
Closest atoms and distances in Å follow each position.
Fractional positions:
Co 0.0000 0.5000 0.0000  4 Mo 2.57, 4 Rh 2.57, 4 Co 2.59-2.61
Co 0.0000 0.0000 0.5000  4 Rh 2.57, 4 Mo 2.57, 4 Co 2.59-2.61
Rh 0.5000 0.5000 0.5000  8 Co 2.57, 2 Mo 2.59, 2 Rh 2.61
Mo 0.5000 0.0000 0.0000  8 Co 2.57, 2 Rh 2.59, 2 Mo 2.61

Values from the calculation:
- Energy of formation from the pure elements: 0.1809 eV per atom
- Energy relative to the lowest polymorph listed for this composition: 0.169 eV per atom

***

# 2
Computed, not measured: KFeTeI2 at its PBEsol-relaxed geometry at the SCAN level of DFT.

Lattice parameters (Å, degrees): 5.0316 5.6660 5.6660 90.00 90.00 90.00
Closest atoms and distances in Å follow each position.
Fractional positions:
K 0.5000 0.5000 0.5000  8 I 3.79, 4 Te 4.01
I 0.0000 0.0000 0.5000  2 Fe 2.83
I 0.0000 0.5000 0.0000  2 Fe 2.83
Te 0.5000 0.0000 0.0000  2 Fe 2.52
Fe 0.0000 0.0000 0.0000  2 Te 2.52

Values from the calculation:
- Raw formation energy: -0.46 eV per atom

***

# 3
Computed, not measured: ZnAg2Rh at its PBEsol-relaxed geometry at the SCAN level of DFT.

Lattice parameters (Å, degrees): 2.7266 2.7266 8.9589 90.00 90.00 115.43
Closest atoms and distances in Å follow each position.
Fractional positions:
Rh 0.0000 0.0000 0.4844  2 Zn 2.48, 4 Rh 2.73, 2 Ag 2.74
Ag 0.5000 0.5000 0.7438  8 Ag 2.73-2.91, 2 Rh 2.74
Ag 0.0000 0.0000 0.0118  2 Zn 2.66, 8 Ag 2.73-2.91
Zn 0.5000 0.5000 0.2600  2 Rh 2.48, 2 Ag 2.66, 4 Zn 2.73

Values from the calculation:
- Energy of formation from the pure elements: 0.0302 eV per atom

***

# 4
Computed, not measured: MnZn2P at its PBEsol-relaxed geometry at the SCAN level of DFT.

Lattice parameters (Å, degrees): 2.7552 2.7552 8.1154 80.23 80.23 60.00
Closest atoms and distances in Å follow each position.
Fractional positions:
Zn 0.2440 0.2440 0.2679  3 Mn 2.58, 9 Zn 2.69-2.76
Zn 0.0017 0.0017 0.9949  9 Zn 2.69-2.76, 3 P 2.74
Mn 0.4923 0.4923 0.5231  3 P 2.20
P 0.7620 0.7620 0.7141  3 Mn 2.20

Values from the calculation:
- Energy of formation from the pure elements: 0.0230 eV per atom

***

# 5
Computed, not measured: La2AuO2 at its PBEsol-relaxed geometry at the SCAN level of DFT.

Lattice parameters (Å, degrees): 4.0259 4.0259 6.9206 106.91 106.91 90.00
Closest atoms and distances in Å follow each position.
Fractional positions:
O 0.2500 0.7500 0.5000  4 La 2.35
O 0.7500 0.2500 0.5000  4 La 2.35
La 0.6537 0.6537 0.3073  4 O 2.35
La 0.3463 0.3463 0.6927  4 O 2.35
Au 0.0000 0.0000 0.0000  8 La 3.44, 8 O 3.74

Values from the calculation:
- Raw formation energy: -2.86 eV per atom

***

# 6
Computed, not measured: OsRhW2 at its PBEsol-relaxed geometry at the SCAN level of DFT.

Lattice parameters (Å, degrees): 2.7644 4.7405 4.7681 99.21 90.00 106.95
Closest atoms and distances in Å follow each position.
Fractional positions:
Os 0.4979 0.9957 0.5128  7 W 2.67-2.78, 2 Os 2.76, 3 Rh 2.76-2.84
W 0.2454 0.4908 0.7303  3 Os 2.67-2.69, 4 Rh 2.74-2.77, 5 W 2.76-2.88
W 0.0049 0.0099 0.0205  3 Rh 2.67-2.69, 4 Os 2.73-2.78, 5 W 2.76-2.88
Rh 0.7518 0.5035 0.2364  7 W 2.67-2.77, 2 Rh 2.76, 3 Os 2.76-2.84

Values from the calculation:
- Energy of formation from the pure elements: 0.0308 eV per atom
- Energy relative to the lowest polymorph listed for this composition: 0.113 eV per atom

***

# 7
Computed, not measured: SiSeO2 at its PBEsol-relaxed geometry at the SCAN level of DFT.

Lattice parameters (Å, degrees): 2.7058 2.7058 9.6420 81.93 81.93 60.00
Closest atoms and distances in Å follow each position.
Fractional positions:
O 0.1349 0.1349 0.5952  3 Si 1.81
O 0.8651 0.8651 0.4048  3 Si 1.81
Se 0.0000 0.0000 0.0000  6 Se 2.71
Si 0.5000 0.5000 0.5000  6 O 1.81

Values from the calculation:
- Raw formation energy: -1.86 eV per atom

***

# 8
Computed, not measured: GaFeI2O at its PBEsol-relaxed geometry at the SCAN level of DFT.

Lattice parameters (Å, degrees): 3.5788 5.5790 5.5790 90.00 90.00 90.00
Closest atoms and distances in Å follow each position.
Fractional positions:
O 0.5000 0.0000 0.0000  2 Ga 1.79
Fe 0.5000 0.5000 0.5000  8 I 3.31, 2 Fe 3.58
I 0.0000 0.5000 0.0000  2 Ga 2.79
I 0.0000 0.0000 0.5000  2 Ga 2.79
Ga 0.0000 0.0000 0.0000  2 O 1.79

Values from the calculation:
- Energy relative to the lowest polymorph listed for this composition: 0.321 eV per atom
- Raw formation energy: -0.09 eV per atom

***

# 9
Computed, not measured: KCaCr at its PBEsol-relaxed geometry at the SCAN level of DFT.

Lattice parameters (Å, degrees): 3.8070 3.8070 8.1444 103.52 103.52 90.00
Closest atoms and distances in Å follow each position.
Fractional positions:
Ca 0.0372 0.0372 0.0744  4 Cr 3.20
Cr 0.6503 0.6503 0.3006  4 Ca 3.20
K 0.3125 0.3125 0.6250  4 Cr 3.67, 4 K 3.81

Values from the calculation:
- Energy of formation from the pure elements: 0.5057 eV per atom
- Energy relative to the lowest polymorph listed for this composition: 0.000 eV per atom

***

# 10
Computed, not measured: Re2AgSe at its PBEsol-relaxed geometry at the SCAN level of DFT.

Lattice parameters (Å, degrees): 2.8714 2.8714 7.9612 90.00 90.00 90.00
Closest atoms and distances in Å follow each position.
Fractional positions:
Ag 0.5000 0.5000 0.7718  4 Ag 2.87, 4 Re 2.89
Re 0.0000 0.0000 0.0301  8 Re 2.66-2.87, 4 Ag 2.89
Re 0.5000 0.5000 0.2451  4 Se 2.62, 8 Re 2.66-2.87
Se 0.0000 0.0000 0.4531  4 Re 2.62, 4 Se 2.87

Values from the calculation:
- Raw formation energy: 0.41 eV per atom

***

# 11
Computed, not measured: SrHf2SbAs at its PBEsol-relaxed geometry at the SCAN level of DFT.

Lattice parameters (Å, degrees): 5.1605 5.1994 5.1994 90.00 90.00 90.00
Closest atoms and distances in Å follow each position.
Fractional positions:
Hf 0.0000 0.0000 0.5000  2 Sr 2.60
Hf 0.0000 0.5000 0.0000  2 Sr 2.60
As 0.5000 0.0000 0.0000  2 Sr 2.58
Sb 0.5000 0.5000 0.5000  8 Hf 3.66, 4 As 3.68
Sr 0.0000 0.0000 0.0000  2 As 2.58, 4 Hf 2.60

Values from the calculation:
- Raw formation energy: 1.80 eV per atom

***

# 12
Computed, not measured: CsAs4F13 at its PBEsol-relaxed geometry at the SCAN level of DFT.

Lattice parameters (Å, degrees): 6.6669 7.4231 7.4231 78.37 63.32 63.32
Closest atoms and distances in Å follow each position.
Fractional positions:
F 0.1637 0.3610 0.8763  1 As 1.77
F 0.8409 0.7249 0.4305  1 As 1.79
F 0.9963 0.2751 0.5695  1 As 1.79
F 0.5248 0.9204 0.7550  1 As 1.81
F 0.2500 0.5000 0.5000  4 As 2.40, 4 F 2.67
F 0.9600 0.8763 0.6390  1 As 1.77
F 0.4010 0.6390 0.1237  1 As 1.77
F 0.4753 0.1237 0.3610  1 As 1.77
F 0.2003 0.0796 0.2450  1 As 1.81
F 0.7202 0.7550 0.0796  1 As 1.81
F 0.4342 0.5695 0.7249  1 As 1.79
F 0.5548 0.2450 0.9204  1 As 1.81
F 0.7286 0.4305 0.2751  1 As 1.79
As 0.4708 0.3191 0.7076  3 F 1.77-1.81
As 0.8217 0.7076 0.6809  3 F 1.77-1.81
As 0.2102 0.2924 0.3191  3 F 1.77-1.81
As 0.4974 0.6809 0.2924  3 F 1.77-1.81
Cs 0.0000 0.0000 0.0000  8 F 2.96-3.15

Values from the calculation:
- Raw formation energy: -2.34 eV per atom

***

# 13
Computed, not measured: CdHg2PCl at its PBEsol-relaxed geometry at the SCAN level of DFT.

Lattice parameters (Å, degrees): 4.9953 5.1279 5.1279 90.00 90.00 90.00
Closest atoms and distances in Å follow each position.
Fractional positions:
P 0.0000 0.0000 0.0000  2 Cd 2.50, 4 Hg 2.56
Cd 0.5000 0.0000 0.0000  2 P 2.50
Hg 0.0000 0.5000 0.0000  2 P 2.56
Hg 0.0000 0.0000 0.5000  2 P 2.56
Cl 0.5000 0.5000 0.5000  8 Hg 3.58, 4 Cd 3.63

Values from the calculation:
- Raw formation energy: -0.12 eV per atom

***

Number 1: volume 12.12 Å³/atom. Number 2: volume 32.31 Å³/atom. Number 3: volume 15.04 Å³/atom. Number 4: volume 13.08 Å³/atom. Number 5: volume 20.45 Å³/atom. Number 6: volume 14.73 Å³/atom. Number 7: volume 15.08 Å³/atom. Number 8: volume 22.28 Å³/atom. Number 9: volume 37.13 Å³/atom. Number 10: volume 16.41 Å³/atom. Number 11: volume 27.90 Å³/atom. Number 12: volume 16.29 Å³/atom. Number 13: volume 26.27 Å³/atom.